Record 1
Entry from the Alexandria database: a geometry-optimized LaMoAs2Br structure (PBE).

Values from the calculation:
- raw formation energy (eV/atom) = 0.782
- raw total energy (eV/atom) = -4.564
- M_tot (μB/f.u.) = 3.47

Geometry as POSCAR:
```
LaMoAs2Br
1.0
5.737 0.000 0.000
0.000 5.737 0.000
0.000 0.000 5.633
La Mo As Br
1 1 2 1
Cartesian
0.000 0.000 0.000 La
2.868 2.868 2.817 Mo
0.000 2.868 0.000 As
2.868 0.000 0.000 As
0.000 0.000 2.817 Br
```

=====

Record 2
Entry from the Alexandria database: a geometry-optimized LaAsBr2N structure (PBE).

Values from the calculation:
- raw formation energy (eV/atom) = 0.008
- raw total energy (eV/atom) = -4.242
- M_tot (μB/f.u.) = 0.55

Geometry as POSCAR:
```
LaAsBr2N
1.0
4.724 0.000 0.000
0.000 4.724 0.000
0.000 0.000 4.776
La As Br N
1 1 2 1
Cartesian
0.000 0.000 0.000 La
2.362 2.362 0.000 As
0.000 2.362 2.388 Br
2.362 0.000 2.388 Br
2.362 2.362 2.388 N
```

=====

Q: Among the records above, which one has the lowest raw formation energy?
A: LaAsBr2N